Entry 1:
Entry from the Alexandria database: a relaxed structure of Tb6CePm3Tm2 (PBE).

DFT formation energy (eV/atom): 0.0354

Lattice parameters (Å, degrees): 6.1832 6.1832 11.8390 95.00 95.00 119.99
Closest atoms and distances in Å follow each position.
Fractional coordinates of all 12 atoms:
Tb  0.0824  0.4138  0.2462  1 Ce 3.53, 2 Tm 3.54, 6 Tb 3.55-3.58, 3 Pm 3.60-3.61
Tb  0.2493  0.2493  0.7537  1 Ce 3.53, 2 Tm 3.54, 6 Tb 3.55-3.58, 3 Pm 3.61
Tb  0.4138  0.0824  0.2462  1 Ce 3.53, 2 Tm 3.54, 6 Tb 3.55-3.58, 3 Pm 3.60-3.61
Tb  0.5862  0.9176  0.7538  1 Ce 3.53, 2 Tm 3.54, 6 Tb 3.55-3.58, 3 Pm 3.60-3.61
Tb  0.7507  0.7507  0.2463  1 Ce 3.53, 2 Tm 3.54, 6 Tb 3.55-3.58, 3 Pm 3.61
Tb  0.9176  0.5862  0.7538  1 Ce 3.53, 2 Tm 3.54, 6 Tb 3.55-3.58, 3 Pm 3.60-3.61
Ce  0.0000  0.0000  0.0000  6 Tb 3.53, 6 Tm 3.57
Pm  0.1675  0.8325  0.5000  6 Pm 3.56-3.59, 6 Tb 3.60-3.61
Pm  0.5000  0.5000  0.5000  6 Pm 3.56-3.57, 6 Tb 3.60-3.61
Pm  0.8325  0.1675  0.5000  6 Pm 3.56-3.59, 6 Tb 3.60-3.61
Tm  0.3333  0.6667  0.0000  6 Tb 3.54, 3 Ce 3.57, 3 Tm 3.57
Tm  0.6667  0.3333  0.0000  6 Tb 3.54, 3 Ce 3.57, 3 Tm 3.57


Entry 2:
Entry from the Alexandria database: a relaxed structure of HgOF3 (PBE).

Raw formation energy (meV/atom): -59
Relative energy among the computed polymorphs (meV per atom): 323

Lattice parameters (Å, degrees): 3.9358 3.9358 3.9358 90.00 90.00 90.00
Closest atoms and distances in Å follow each position.
Fractional coordinates of all 5 atoms:
Hg  0.0000  0.0000  0.0000  12 F 2.78
O  0.5000  0.5000  0.5000  6 F 1.97
F  0.0000  0.5000  0.5000  2 O 1.97
F  0.5000  0.0000  0.5000  2 O 1.97
F  0.5000  0.5000  0.0000  2 O 1.97


Entry 3:
Entry from the Alexandria database: a relaxed structure of Sc2TcOs (PBE).

DFT formation energy (eV/atom): -0.0921

Lattice parameters (Å, degrees): 2.9401 4.4815 5.3345 90.00 103.79 90.00
Closest atoms and distances in Å follow each position.
Fractional coordinates of all 4 atoms:
Sc  0.0000  0.0000  0.0000  2 Os 2.64-2.81, 2 Tc 2.80, 4 Sc 2.89-2.94
Sc  0.2683  0.5000  0.7238  2 Tc 2.61-2.84, 2 Os 2.79, 2 Sc 2.89
Tc  0.7501  0.5000  0.2535  4 Sc 2.61-2.84, 2 Os 2.69
Os  0.5258  0.0000  0.4767  4 Sc 2.64-2.81, 2 Tc 2.69, 2 Os 2.94


Entry 4:
Entry from the Alexandria database: a relaxed structure of Sm2Al3Pd2 (PBE).

DFT formation energy (eV/atom): -0.7604

Lattice parameters (Å, degrees): 5.6690 5.6690 7.0034 114.24 114.24 44.85
Closest atoms and distances in Å follow each position.
Fractional coordinates of all 7 atoms:
Sm  0.1458  0.1458  0.2773  4 Pd 2.95-3.15, 2 Al 3.17
Sm  0.8542  0.8542  0.7227  4 Pd 2.95-3.15, 2 Al 3.17
Al  0.3708  0.3708  0.0633  3 Pd 2.57-2.66, 1 Al 2.74
Al  0.5000  0.5000  0.5000  4 Pd 2.67, 2 Al 2.74
Al  0.6292  0.6292  0.9367  3 Pd 2.57-2.66, 1 Al 2.74
Pd  0.1352  0.1352  0.7200  5 Al 2.57-2.67
Pd  0.8648  0.8648  0.2800  5 Al 2.57-2.67


Entry 5:
Entry from the Alexandria database: a relaxed structure of PuUGe2 (PBE).

Relative energy among the computed polymorphs (meV per atom): 26
DFT formation energy (eV/atom): -0.2707

Lattice parameters (Å, degrees): 3.2419 3.2419 8.1956 90.00 90.00 90.00
Closest atoms and distances in Å follow each position.
Fractional coordinates of all 4 atoms:
Pu  0.0000  0.0000  0.0000  8 Ge 3.09, 4 Pu 3.24
U  0.0000  0.0000  0.5000  8 Ge 3.06, 4 U 3.24
Ge  0.5000  0.5000  0.2521  4 U 3.06, 4 Pu 3.09, 4 Ge 3.24
Ge  0.5000  0.5000  0.7479  4 U 3.06, 4 Pu 3.09, 4 Ge 3.24


Entry 6:
Entry from the Alexandria database: a relaxed structure of ScRe2Ir (PBE).

Relative energy among the computed polymorphs (meV per atom): 11
DFT formation energy (eV/atom): -0.1375

Lattice parameters (Å, degrees): 3.0986 4.3776 4.6532 90.00 90.00 90.00
Closest atoms and distances in Å follow each position.
Fractional coordinates of all 4 atoms:
Sc  0.0000  0.0000  0.0000  4 Ir 2.68, 4 Re 2.80
Re  0.0000  0.5000  0.5000  4 Re 2.68, 4 Ir 2.80
Re  0.5000  0.0000  0.5000  4 Re 2.68, 4 Sc 2.80
Ir  0.5000  0.5000  0.0000  4 Sc 2.68, 4 Re 2.80